Material: BaSiC2O
Method: DFT, GGA-PBE
State: optimized geometry

abc: 4.9542 4.9542 4.5627
angles: 90.00 90.00 90.00
Last column: nearest neighbours and their distance in Å.
Atoms (fractional coordinates):
Ba  0.0000  0.0000  0.0000  2 O 2.28, 4 C 2.48
Si  0.5000  0.5000  0.5000  8 C 3.37, 4 O 3.50
C  0.0000  0.5000  0.0000  2 Ba 2.48
C  0.5000  0.0000  0.0000  2 Ba 2.48
O  0.0000  0.0000  0.5000  2 Ba 2.28

SG: P4/mmm, No. 123
Raw formation energy: 12.96 eV per formula unit
Magnetization: 2.6 μB per cell